# 1
# Dy3Ho

Dy3Ho at its PBEsol-relaxed geometry (meta-GGA SCAN, Alexandria).

Summary:
Space group: Pm-3m, No. 221
Final energy in eV for the cell shown: -192.3
Crystal system: cubic
N(E_F) in states/eV per cell: 4.7
M_tot in μB/cell: 0.01

a = 4.887 Å, b = 4.887 Å, c = 4.887 Å
α = 90.00°, β = 90.00°, γ = 90.00°
Element x y z (fractional)
Dy: 0.000 0.000 0.500
Dy: 0.000 0.500 0.000
Dy: 0.500 0.000 0.000
Ho: 0.500 0.500 0.500

=====

# 2
# K2AgHg

K2AgHg at its PBEsol-relaxed geometry (meta-GGA SCAN, Alexandria).

Summary:
Space group: Amm2, No. 38
Final energy in eV for the cell shown: -116.8
Crystal system: orthorhombic
N(E_F) in states/eV per cell: 1.6
M_tot in μB/cell: 0.00

a = 4.823 Å, b = 6.566 Å, c = 6.566 Å
α = 42.45°, β = 90.00°, γ = 90.00°
Element x y z (fractional)
K: 0.000 0.000 0.000
K: 0.500 0.293 0.293
Ag: 0.000 0.704 0.704
Hg: 0.500 0.586 0.586

=====

# 3
# ZrC

ZrC at its PBEsol-relaxed geometry (meta-GGA SCAN, Alexandria).

Summary:
Space group: Fm-3m, No. 225
Crystal system: cubic
N(E_F) in states/eV per cell: 0.3
M_tot in μB/cell: 0.00
E above lowest polymorph in eV/atom: 0.0000

a = 3.303 Å, b = 3.303 Å, c = 3.303 Å
α = 60.00°, β = 60.00°, γ = 60.00°
Element x y z (fractional)
Zr: 0.000 0.000 0.000
C: 0.500 0.500 0.500

=====

Question: What is the formula in the second record?
Answer: K2AgHg

=====

Question: Which of these has the lowest N(E_F)?
Answer: ZrC

=====

Question: N(E_F) of number 3 (ZrC)?
Answer: 0.3 states/eV per cell

=====

Question: The lowest N(E_F) belongs to which entry?
Answer: ZrC